(1)
Below is an optimized crystal structure of La3TmCd2, with properties calculated at the PBE level.

Space-group type = No. 123
Fermi-level density of states = 8.46 states/eV/f.u.
Spin magnetization = 0.21 Bohr magnetons per cell
Calculated density = 7060 kg/m³
Energy of formation = -0.190 eV per atom
Calculated volume = 31.77 A^3/atom

abc: 3.8781 3.8781 12.6754
angles: 90.00 90.00 90.00
With the nearest neighbours (Å) after each atom.
Sites, in units of the cell vectors:
1 La 0.0000 0.0000 0.0000  8 Cd 3.43
2 La 0.0000 0.0000 0.3162  4 Cd 3.37, 4 Tm 3.60
3 La 0.0000 0.0000 0.6838  4 Cd 3.37, 4 Tm 3.60
4 Tm 0.5000 0.5000 0.5000  8 La 3.60, 4 Tm 3.88
5 Cd 0.5000 0.5000 0.1621  8 La 3.37-3.43
6 Cd 0.5000 0.5000 0.8379  8 La 3.37-3.43



(2)
Below is an optimized crystal structure of La2TmCd2, with properties calculated at the PBE level.

Space-group type = No. 11
Fermi-level density of states = 4.97 states/eV/f.u.
Spin magnetization = 0.00 Bohr magnetons per cell
Calculated density = 7564 kg/m³
Energy of formation = -0.234 eV per atom
Calculated volume = 29.49 A^3/atom

abc: 3.7342 5.4050 14.7283
angles: 90.00 97.27 90.00
With the nearest neighbours (Å) after each atom.
Sites, in units of the cell vectors:
1 La 0.0410 0.2500 0.0816  8 Cd 3.34-3.55, 4 La 3.60-3.73
2 La 0.2328 0.2500 0.4675  2 Cd 3.39, 6 La 3.42-3.73, 2 Tm 3.64
3 La 0.7672 0.7500 0.5325  2 Cd 3.39, 6 La 3.42-3.73, 2 Tm 3.64
4 La 0.9590 0.7500 0.9184  8 Cd 3.34-3.55, 4 La 3.60-3.73
5 Tm 0.1515 0.7500 0.3005  6 Cd 3.18-3.31
6 Tm 0.8485 0.2500 0.6995  6 Cd 3.18-3.31
7 Cd 0.3630 0.7500 0.7260  4 Tm 3.30-3.31, 4 La 3.37-3.39, 2 Cd 3.47
8 Cd 0.4369 0.2500 0.8754  2 Tm 3.18, 6 La 3.34-3.55, 2 Cd 3.47
9 Cd 0.5631 0.7500 0.1246  2 Tm 3.18, 6 La 3.34-3.55, 2 Cd 3.47
10 Cd 0.6370 0.2500 0.2740  4 Tm 3.30-3.31, 4 La 3.37-3.39, 2 Cd 3.47



(3)
Below is an optimized crystal structure of La6Tm2Cd, with properties calculated at the PBE level.

Space-group type = No. 15
Fermi-level density of states = 11.00 states/eV/f.u.
Spin magnetization = 0.00 Bohr magnetons per cell
Calculated density = 7079 kg/m³
Energy of formation = -0.007 eV per atom
Calculated volume = 33.46 A^3/atom

abc: 11.5690 11.5690 6.3796
angles: 105.97 105.97 47.70
With the nearest neighbours (Å) after each atom.
Sites, in units of the cell vectors:
1 La 0.0039 0.1539 0.2179  2 Cd 3.37-3.50, 6 La 3.48-3.62, 1 Tm 3.66
2 La 0.0798 0.5801 0.0797  3 La 3.23-3.50, 1 Cd 3.43, 4 Tm 3.49-3.53
3 La 0.1539 0.0039 0.7179  2 Cd 3.37-3.50, 6 La 3.48-3.62, 1 Tm 3.66
4 La 0.3466 0.4958 0.5595  2 Cd 3.37-3.51, 6 La 3.48-3.62, 1 Tm 3.66
5 La 0.4199 0.9202 0.4203  3 La 3.23-3.50, 1 Cd 3.43, 4 Tm 3.49-3.53
6 La 0.4958 0.3466 0.0595  2 Cd 3.37-3.51, 6 La 3.48-3.62, 1 Tm 3.66
7 La 0.5042 0.6534 0.9405  2 Cd 3.37-3.51, 6 La 3.48-3.62, 1 Tm 3.66
8 La 0.5801 0.0798 0.5797  3 La 3.23-3.50, 1 Cd 3.43, 4 Tm 3.49-3.53
9 La 0.6534 0.5042 0.4405  2 Cd 3.37-3.51, 6 La 3.48-3.62, 1 Tm 3.66
10 La 0.8461 0.9961 0.2821  2 Cd 3.37-3.50, 6 La 3.48-3.62, 1 Tm 3.66
11 La 0.9202 0.4199 0.9203  3 La 3.23-3.50, 1 Cd 3.43, 4 Tm 3.49-3.53
12 La 0.9961 0.8461 0.7821  2 Cd 3.37-3.50, 6 La 3.48-3.62, 1 Tm 3.66
13 Tm 0.1733 0.3268 0.5793  3 Tm 3.39-3.50, 6 La 3.49-3.66
14 Tm 0.3268 0.1733 0.0793  3 Tm 3.39-3.50, 6 La 3.49-3.66
15 Tm 0.6732 0.8267 0.9207  3 Tm 3.39-3.50, 6 La 3.49-3.66
16 Tm 0.8267 0.6732 0.4207  3 Tm 3.39-3.50, 6 La 3.49-3.66
17 Cd 0.2495 0.7505 0.2500  10 La 3.37-3.51
18 Cd 0.7505 0.2495 0.7500  10 La 3.37-3.51



(4)
Below is an optimized crystal structure of La3Tm4Cd, with properties calculated at the PBE level.

Space-group type = No. 123
Fermi-level density of states = 12.64 states/eV/f.u.
Spin magnetization = 0.00 Bohr magnetons per cell
Calculated density = 7920 kg/m³
Energy of formation = -0.050 eV per atom
Calculated volume = 31.58 A^3/atom

abc: 3.6422 3.6422 19.0427
angles: 90.00 90.00 90.00
With the nearest neighbours (Å) after each atom.
Sites, in units of the cell vectors:
1 La 0.0000 0.0000 0.0000  8 Tm 3.60, 4 La 3.64
2 La 0.0000 0.0000 0.2657  8 Tm 3.61-3.62, 4 La 3.64
3 La 0.0000 0.0000 0.7343  8 Tm 3.61-3.62, 4 La 3.64
4 Tm 0.5000 0.5000 0.1323  8 La 3.60-3.62, 4 Tm 3.64
5 Tm 0.5000 0.5000 0.3982  4 Cd 3.22, 4 La 3.61
6 Tm 0.5000 0.5000 0.6018  4 Cd 3.22, 4 La 3.61
7 Tm 0.5000 0.5000 0.8677  8 La 3.60-3.62, 4 Tm 3.64
8 Cd 0.0000 0.0000 0.5000  8 Tm 3.22